[1]
# BaAcAgAu

BaAcAgAu after structural relaxation (PBE, Alexandria via LeMat-Bulk).

## Properties
volume: 133.2 Å³/f.u.
mass density: 8.34 g/cm3
DFT formation energy: -0.49 eV/atom

Lattice parameters (Å, degrees): 5.010 6.533 6.533 38.53 90.00 90.00
Atoms (fractional coordinates):
Ba1 0.000 0.000 0.000
Ac1 0.500 0.728 0.728
Ag1 0.500 0.434 0.434
Au1 0.000 0.277 0.277



[2]
# YCrPRh2

YCrPRh2 after structural relaxation (PBE, Alexandria via LeMat-Bulk).

## Properties
volume: 86.9 Å³/f.u.
mass density: 7.21 g/cm3
DFT formation energy: -0.44 eV/atom

Lattice parameters (Å, degrees): 4.484 4.484 4.324 90.00 90.00 90.00
Atoms (fractional coordinates):
Y1 0.000 0.000 0.000
Cr1 0.500 0.500 0.000
P1 0.500 0.500 0.500
Rh1 0.000 0.500 0.500
Rh2 0.500 0.000 0.500



[3]
# Mg3ZnPt

Mg3ZnPt after structural relaxation (PBE, Alexandria via LeMat-Bulk).

## Properties
volume: 94.2 Å³/f.u.
mass density: 5.88 g/cm3
DFT formation energy: -0.45 eV/atom

Lattice parameters (Å, degrees): 4.414 7.676 5.561 90.00 90.00 90.00
Atoms (fractional coordinates):
Mg1 0.250 0.057 0.220
Mg2 0.250 0.250 0.743
Mg3 0.250 0.443 0.220
Mg4 0.750 0.557 0.780
Mg5 0.750 0.750 0.257
Mg6 0.750 0.943 0.780
Zn1 0.250 0.750 0.534
Zn2 0.750 0.250 0.466
Pt1 0.250 0.750 0.991
Pt2 0.750 0.250 0.009